[1]
This record from Alexandria via LeMat-Bulk describes Pm2Ag5Hg after structural relaxation. The functional is PBE.

## Properties
formation energy from the elements	-0.102	eV per atom
density	9238	kg/m3
distance to the lowest polymorph of the same formula	89	meV/atom

a = 6.550 Å, b = 6.550 Å, c = 8.630 Å
α = 90.00°, β = 90.00°, γ = 90.00°
Space group I4mm (No. 107)
Symmetry-distinct sites (fractional):
1 Pm 0.000 0.500 0.000 (multiplicity 4)
2 Ag 0.000 0.000 0.048 (multiplicity 2)
3 Ag 0.219 0.219 0.751 (multiplicity 8)
4 Hg 0.000 0.000 0.431 (multiplicity 2)



[2]
This record from Alexandria via LeMat-Bulk describes LaAgPb after structural relaxation. The functional is PBE.

## Properties
formation energy from the elements	-0.219	eV per atom
density	8797	kg/m3

a = 3.758 Å, b = 4.789 Å, c = 9.525 Å
α = 90.00°, β = 90.00°, γ = 90.00°
Space group Imm2 (No. 44)
Symmetry-distinct sites (fractional):
1 La 0.000 0.000 0.000 (multiplicity 2)
2 Ag 0.000 0.000 0.662 (multiplicity 2)
3 Pb 0.000 0.000 0.338 (multiplicity 2)



[3]
This record from Alexandria via LeMat-Bulk describes BaLaMgNbO6 after structural relaxation. The functional is PBE.

## Properties
density	6030	kg/m3
formation energy (no corrections)	-2.901	eV/atom

a = 8.139 Å, b = 8.139 Å, c = 8.139 Å
α = 90.00°, β = 90.00°, γ = 90.00°
Space group F-43m (No. 216)
Symmetry-distinct sites (fractional):
1 Ba 0.000 0.000 0.000 (multiplicity 4)
2 La 0.000 0.000 0.500 (multiplicity 4)
3 Mg 0.250 0.250 0.750 (multiplicity 4)
4 Nb 0.250 0.250 0.250 (multiplicity 4)
5 O 0.003 0.250 0.250 (multiplicity 24)



[4]
This record from Alexandria via LeMat-Bulk describes KBa after structural relaxation. The functional is PBE.

## Properties
formation energy from the elements	0.137	eV per atom
density	2141	kg/m3

a = 7.270 Å, b = 12.769 Å, c = 8.843 Å
α = 90.00°, β = 90.00°, γ = 90.00°
Space group Imm2 (No. 44)
Symmetry-distinct sites (fractional):
1 K 0.000 0.000 0.000 (multiplicity 2)
2 K 0.000 0.345 0.250 (multiplicity 4)
3 Ba 0.000 0.000 0.489 (multiplicity 2)
4 Ba 0.000 0.328 0.753 (multiplicity 4)



[5]
This record from Alexandria via LeMat-Bulk describes VIn2OsC after structural relaxation. The functional is PBE.

## Properties
formation energy from the elements	0.888	eV per atom
density	8700	kg/m3

a = 4.856 Å, b = 4.856 Å, c = 3.908 Å
α = 90.00°, β = 90.00°, γ = 90.00°
Space group P4/mmm (No. 123)
Symmetry-distinct sites (fractional):
1 V 0.000 0.000 0.000 (multiplicity 1)
2 In 0.000 0.500 0.500 (multiplicity 2)
3 Os 0.500 0.500 0.000 (multiplicity 1)
4 C 0.500 0.500 0.500 (multiplicity 1)



[6]
This record from Alexandria via LeMat-Bulk describes Cs6RbCd2 after structural relaxation. The functional is PBE.

## Properties
formation energy from the elements	-0.016	eV per atom
density	2506	kg/m3

a = 13.993 Å, b = 14.187 Å, c = 14.791 Å
α = 90.00°, β = 90.00°, γ = 90.00°
Space group Immm (No. 71)
Symmetry-distinct sites (fractional):
1 Cs 0.000 0.224 0.233 (multiplicity 8)
2 Cs 0.192 0.500 0.180 (multiplicity 8)
3 Cs 0.203 0.316 0.500 (multiplicity 8)
4 Rb 0.000 0.000 0.000 (multiplicity 2)
5 Rb 0.000 0.000 0.500 (multiplicity 2)
6 Cd 0.000 0.391 0.000 (multiplicity 4)
7 Cd 0.000 0.500 0.398 (multiplicity 4)